1.
DFT (PBE-GGA) results for an optimized crystal structure of Ho2SnOs.

Cell and atoms, written as POSCAR:
```
Ho2SnOs
1.0
1.723 0.995 10.306
-1.723 0.995 10.306
0.000 -1.990 10.306
Ho Sn Os
2 1 1
Cartesian
0.000 0.000 3.174
0.000 0.000 27.743
0.000 0.000 0.000
0.000 0.000 15.458
```

Values from the calculation:
DFT formation energy	0.54	eV per formula unit
density of states at the Fermi level	4.55	states/eV/f.u.
ΔE to the lowest computed polymorph	0.608	eV per atom
theoretical density	10.01	g/cm3



2.
DFT (PBE-GGA) results for an optimized crystal structure of K2NbZnSe4.

Cell and atoms, written as POSCAR:
```
K2NbZnSe4
1.0
0.000 6.976 12.045
3.023 0.000 12.045
3.023 6.976 0.000
K Nb Zn Se
4 2 2 8
Cartesian
2.267 5.232 1.349
3.779 8.720 7.371
2.267 5.232 16.718
3.779 8.720 22.741
2.267 5.232 9.034
3.779 8.720 15.056
0.756 1.744 3.011
5.290 12.209 21.078
2.269 3.169 4.379
3.777 6.657 10.402
2.265 7.296 4.379
2.265 3.169 13.688
3.781 10.784 10.402
3.781 6.657 19.710
2.269 7.296 13.688
3.777 10.784 19.710
```

Values from the calculation:
E_form (uncorrected)	-0.881	eV per atom
density of states at the Fermi level	3.20	states/eV/f.u.
theoretical density	3.61	g/cm3



3.
DFT (PBE-GGA) results for an optimized crystal structure of MnSi2Ni.

Cell and atoms, written as POSCAR:
```
MnSi2Ni
1.0
0.000 2.899 2.899
2.899 0.000 2.899
2.899 2.899 0.000
Mn Si Ni
1 2 1
Cartesian
0.000 0.000 0.000
2.899 2.899 2.899
4.349 4.349 4.349
1.450 1.450 1.450
```

Values from the calculation:
E_form (uncorrected)	0.087	eV per atom
density of states at the Fermi level	3.87	states/eV/f.u.
theoretical density	5.79	g/cm3



4.
DFT (PBE-GGA) results for an optimized crystal structure of AlAs3.

Cell and atoms, written as POSCAR:
```
AlAs3
1.0
4.675 0.000 0.000
0.000 4.675 0.000
0.000 0.000 3.381
Al As
1 3
Cartesian
0.000 0.000 0.000
0.000 2.337 1.691
2.337 0.000 1.691
2.337 2.337 0.000
```

Values from the calculation:
DFT formation energy	1.13	eV per formula unit
density of states at the Fermi level	2.61	states/eV/f.u.
ΔE to the lowest computed polymorph	0.383	eV per atom
theoretical density	5.66	g/cm3



5.
DFT (PBE-GGA) results for an optimized crystal structure of Er5Tm.

Cell and atoms, written as POSCAR:
```
Er5Tm
1.0
2.471 -7.421 0.000
2.471 7.421 0.000
0.000 0.000 4.936
Er Tm
5 1
Cartesian
0.000 0.000 0.000
2.471 4.951 2.468
2.471 2.474 0.000
2.471 -2.474 0.000
2.471 -4.951 2.468
2.471 0.000 2.468
```

Values from the calculation:
DFT formation energy	0.14	eV per formula unit
density of states at the Fermi level	7.70	states/eV/f.u.
theoretical density	9.22	g/cm3



6.
DFT (PBE-GGA) results for an optimized crystal structure of Pm2UAsN5.

Cell and atoms, written as POSCAR:
```
Pm2UAsN5
1.0
1.775 -7.133 0.000
1.775 7.133 0.000
0.000 0.000 10.351
Pm U As N
4 2 2 10
Cartesian
1.775 5.568 5.175
1.775 5.255 1.506
1.775 -5.255 6.681
1.775 -5.568 0.000
1.775 4.242 8.756
1.775 -4.242 3.581
1.775 0.595 2.695
1.775 -0.595 7.871
1.775 6.629 8.700
1.775 3.018 4.976
1.775 2.530 2.098
1.775 2.163 8.561
1.775 0.106 6.196
1.775 -0.106 1.021
1.775 -2.163 3.386
1.775 -2.530 7.273
1.775 -3.018 10.152
1.775 -6.629 3.525
```

Values from the calculation:
E_form (uncorrected)	-0.864	eV per atom
density of states at the Fermi level	2.08	states/eV/f.u.
theoretical density	8.53	g/cm3



7.
DFT (PBE-GGA) results for an optimized crystal structure of Tm8Si2C3.

Cell and atoms, written as POSCAR:
```
Tm8Si2C3
1.0
6.976 -3.575 0.000
6.976 3.575 0.000
-1.961 0.000 5.944
Tm Si C
8 2 3
Cartesian
0.571 0.000 2.411
5.360 1.872 0.612
6.631 1.872 5.331
4.390 0.000 3.402
7.600 0.000 2.542
5.360 -1.872 0.612
6.631 -1.872 5.331
11.420 0.000 3.532
1.943 0.000 4.906
10.048 0.000 1.038
0.000 0.000 0.000
5.995 1.730 2.972
5.995 -1.730 2.972
```

Values from the calculation:
E_form (uncorrected)	-0.370	eV per atom
density of states at the Fermi level	7.15	states/eV/f.u.
theoretical density	8.09	g/cm3



8.
DFT (PBE-GGA) results for an optimized crystal structure of Pm4Sm3In.

Cell and atoms, written as POSCAR:
```
Pm4Sm3In
1.0
10.119 0.000 0.000
0.000 7.092 0.000
0.000 0.000 7.159
Pm Sm In
8 6 2
Cartesian
0.000 0.003 0.000
0.000 3.538 3.584
2.523 5.364 1.793
2.537 1.728 5.373
5.060 7.089 3.580
5.060 3.554 0.005
7.582 1.728 5.373
7.596 5.364 1.793
0.000 3.545 0.001
2.531 1.717 1.793
2.529 5.375 5.373
5.060 3.547 3.581
7.588 1.717 1.793
7.590 5.375 5.373
0.000 7.090 3.583
5.060 0.002 0.004
```

Values from the calculation:
DFT formation energy	-0.64	eV per formula unit
density of states at the Fermi level	11.63	states/eV/f.u.
ΔE to the lowest computed polymorph	0.011	eV per atom
theoretical density	7.41	g/cm3